[1]
# Tb12Pm7Sm (GGA-PBE, relaxed)
# D(E_F) = 27.47 states/eV/f.u.
# DFT formation energy = 60.8 kJ/mol of atoms
# space group = Im-3 (204)
# V = 36.62 Å³/atom
# relative energy among the computed polymorphs = 399.0 meV per atom
data_Tb12Pm7Sm
_cell_length_a 9.8350
_cell_length_b 9.8350
_cell_length_c 9.8350
_cell_angle_alpha 109.47
_cell_angle_beta 109.47
_cell_angle_gamma 109.47
_symmetry_space_group_name_H-M 'P 1'
_symmetry_Int_Tables_number 1
_symmetry_space_group_name_Hall 'P 1'
loop_
_atom_site_label
_atom_site_fract_x
_atom_site_fract_y
_atom_site_fract_z
_atom_site_occupancy
Tb1 0.0007 0.2499 0.7508 1
Tb2 0.2492 0.4991 0.2499 1
Tb3 0.2492 0.9993 0.7501 1
Tb4 0.2499 0.2492 0.4991 1
Tb5 0.2499 0.7508 0.0007 1
Tb6 0.4991 0.2499 0.2492 1
Tb7 0.5009 0.7501 0.7508 1
Tb8 0.7501 0.2492 0.9993 1
Tb9 0.7501 0.7508 0.5009 1
Tb10 0.7508 0.0007 0.2499 1
Tb11 0.7508 0.5009 0.7501 1
Tb12 0.9993 0.7501 0.2492 1
Pm1 0.0000 0.0000 0.5000 1
Pm2 0.0000 0.5000 0.0000 1
Pm3 0.0000 0.5000 0.5000 1
Pm4 0.5000 0.0000 0.0000 1
Pm5 0.5000 0.0000 0.5000 1
Pm6 0.5000 0.5000 0.0000 1
Pm7 0.5000 0.5000 0.5000 1
Sm1 0.0000 0.0000 0.0000 1

[2]
# NaMnSN2 (GGA-PBE, relaxed)
# formation energy from raw total energies = 0.2927 eV per atom
# D(E_F) = 2.71 states/eV/f.u.
# space group = P4/mmm (123)
# V = 13.34 Å³/atom
# relative energy among the computed polymorphs = 0.0 meV per atom
data_NaMnSN2
_cell_length_a 3.6611
_cell_length_b 3.6611
_cell_length_c 4.9745
_cell_angle_alpha 90.00
_cell_angle_beta 90.00
_cell_angle_gamma 90.00
_symmetry_space_group_name_H-M 'P 1'
_symmetry_Int_Tables_number 1
_symmetry_space_group_name_Hall 'P 1'
loop_
_atom_site_label
_atom_site_fract_x
_atom_site_fract_y
_atom_site_fract_z
_atom_site_occupancy
Na1 0.0000 0.0000 0.0000 1
Mn1 0.5000 0.5000 0.5000 1
S1 0.5000 0.5000 0.0000 1
N1 0.0000 0.5000 0.5000 1
N2 0.5000 0.0000 0.5000 1

[3]
# Tb2NdThBi5 (GGA-PBE, relaxed)
# D(E_F) = 6.30 states/eV/f.u.
# DFT formation energy = 16.4 kJ/mol of atoms
# space group = P4/mmm (123)
# V = 43.88 Å³/atom
data_Tb2NdThBi5
_cell_length_a 5.7128
_cell_length_b 5.7128
_cell_length_c 12.1002
_cell_angle_alpha 90.00
_cell_angle_beta 90.00
_cell_angle_gamma 90.00
_symmetry_space_group_name_H-M 'P 1'
_symmetry_Int_Tables_number 1
_symmetry_space_group_name_Hall 'P 1'
loop_
_atom_site_label
_atom_site_fract_x
_atom_site_fract_y
_atom_site_fract_z
_atom_site_occupancy
Tb1 0.0000 0.0000 0.2349 1
Tb2 0.0000 0.0000 0.7651 1
Nd1 0.5000 0.5000 0.5000 1
Th1 0.5000 0.5000 0.0000 1
Bi1 0.0000 0.0000 0.5000 1
Bi2 0.0000 0.5000 0.0000 1
Bi3 0.5000 0.0000 0.0000 1
Bi4 0.5000 0.5000 0.2550 1
Bi5 0.5000 0.5000 0.7450 1

Q: V of number 1 (Tb12Pm7Sm)?
A: 36.62 Å³/atom

Q: The lowest V belongs to which entry?
A: NaMnSN2

Q: Look up the D(E_F) of the third one.
A: 6.30 states/eV/f.u.

Q: The highest D(E_F) belongs to which entry?
A: Tb12Pm7Sm